# 1
First-principles (PBE with a Hubbard U) data for crystalline CoI2BrO at its relaxed geometry, as listed in Alexandria via LeMat-Bulk.

a = 5.943 Å, b = 5.943 Å, c = 3.977 Å
α = 90.00°, β = 90.00°, γ = 90.00°
Space group P4/mmm (No. 123)
Unique sites:
Co (0.000, 0.000, 0.000) x1
I (0.000, 0.500, 0.500) x2
Br (0.500, 0.500, 0.500) x1
O (0.500, 0.500, 0.000) x1

Properties
ΔE to the lowest computed polymorph = 862.0 meV per atom
Total energy = -2.08 eV per atom

***

# 2
First-principles (PBE with a Hubbard U) data for crystalline CoIBrO2 at its relaxed geometry, as listed in Alexandria via LeMat-Bulk.

a = 3.948 Å, b = 3.948 Å, c = 6.411 Å
α = 90.00°, β = 90.00°, γ = 90.00°
Space group P4/mmm (No. 123)
Unique sites:
Co (0.000, 0.000, 0.000) x1
I (0.000, 0.000, 0.500) x1
Br (0.500, 0.500, 0.500) x1
O (0.000, 0.500, 0.000) x2

Properties
ΔE to the lowest computed polymorph = 0.0 meV per atom
Total energy = -3.49 eV per atom

***

# 3
First-principles (PBE with a Hubbard U) data for crystalline CoIBrO2 at its relaxed geometry, as listed in Alexandria via LeMat-Bulk.

a = 3.865 Å, b = 3.865 Å, c = 7.869 Å
α = 90.00°, β = 90.00°, γ = 90.00°
Space group P4/mmm (No. 123)
Unique sites:
Co (0.000, 0.000, 0.000) x1
I (0.500, 0.500, 0.000) x1
Br (0.500, 0.500, 0.500) x1
O (0.000, 0.500, 0.500) x2

Properties
ΔE to the lowest computed polymorph = 408.8 meV per atom
Total energy = -3.08 eV per atom

***

# 4
First-principles (PBE with a Hubbard U) data for crystalline CoI2BrO at its relaxed geometry, as listed in Alexandria via LeMat-Bulk.

a = 6.008 Å, b = 6.008 Å, c = 3.516 Å
α = 90.00°, β = 90.00°, γ = 90.00°
Space group P4/mmm (No. 123)
Unique sites:
Co (0.000, 0.000, 0.000) x1
I (0.000, 0.500, 0.000) x2
Br (0.500, 0.500, 0.500) x1
O (0.000, 0.000, 0.500) x1

Properties
ΔE to the lowest computed polymorph = 0.0 meV per atom
Total energy = -2.94 eV per atom